Li3MnMo2O6, optimized geometry, DFT PBE+U; SG = C2/m (12); E = -6.31 eV per atom
1.0
2.4569 -4.6514 0.0000
2.4569 4.6514 0.0000
-1.5805 0.0000 5.0696
Li Mn Mo O
3 1 2 6
direct
0.0000 0.0000 0.0000
0.3523 0.6477 0.0000
0.6477 0.3523 0.0000
0.5000 0.5000 0.5000
0.1834 0.8166 0.5000
0.8166 0.1834 0.5000
0.1144 0.4170 0.2504
0.2426 0.2426 0.7183
0.4170 0.1144 0.2504
0.5830 0.8856 0.7496
0.7574 0.7574 0.2817
0.8856 0.5830 0.7496